[1]
Compound: CaMnAs2
Source: Alexandria via LeMat-Bulk
Functional: GGA-PBE
Structure: relaxed

Properties
- E_form (meV/atom) = -285.8
- DOS at the Fermi energy (states/eV per atom) = 0.409
- total magnetization (μB per formula unit) = 4.05

Cell lengths 5.1446, 5.1446, 3.0330 Å; angles 90.00, 90.00, 90.00 degrees
Space group P4/mmm (No. 123)
Unique sites:
1 Ca 0.0000 0.0000 0.0000
2 Mn 0.5000 0.5000 0.0000
3 As 0.0000 0.5000 0.5000

***

[2]
Compound: CaMn2As
Source: Alexandria via LeMat-Bulk
Functional: GGA-PBE
Structure: relaxed

Properties
- E_form (meV/atom) = 241.3
- DOS at the Fermi energy (states/eV per atom) = 0.756
- total magnetization (μB per formula unit) = 7.52

Cell lengths 5.8033, 10.0660, 3.0310 Å; angles 90.00, 120.20, 90.00 degrees
Space group C2/m (No. 12)
Unique sites:
1 Ca 0.0000 0.0000 0.0000
2 Mn 0.2500 0.2500 0.5000
3 As 0.0000 0.5000 0.0000

***

[3]
Compound: CaMn2As
Source: Alexandria via LeMat-Bulk
Functional: GGA-PBE
Structure: relaxed

Properties
- E_form (meV/atom) = -237.4
- DOS at the Fermi energy (states/eV per atom) = 1.084
- total magnetization (μB per formula unit) = 0.18

Cell lengths 4.0237, 4.0237, 16.3870 Å; angles 90.00, 90.00, 120.00 degrees
Space group R3m (No. 160, hexagonal axes)
Unique sites:
1 Ca 0.0000 0.0000 0.0000
2 Mn 0.0000 0.0000 0.2010
3 Mn 0.0000 0.0000 0.5143
4 As 0.0000 0.0000 0.7910

***

[4]
Compound: CaMn4As
Source: Alexandria via LeMat-Bulk
Functional: GGA-PBE
Structure: relaxed

Properties
- E_form (meV/atom) = 412.6
- DOS at the Fermi energy (states/eV per atom) = 1.581
- total magnetization (μB per formula unit) = 5.95

Cell lengths 7.0396, 7.0396, 7.0396 Å; angles 90.00, 90.00, 90.00 degrees
Space group F-43m (No. 216)
Unique sites:
1 Ca 0.0000 0.0000 0.0000
2 Mn 0.1242 0.1242 0.3758
3 As 0.2500 0.2500 0.7500

***

[5]
Compound: CaMnAs2
Source: Alexandria via LeMat-Bulk
Functional: GGA-PBE
Structure: relaxed

Properties
- E_form (meV/atom) = -404.8
- DOS at the Fermi energy (states/eV per atom) = 0.413
- total magnetization (μB per formula unit) = 3.04

Cell lengths 4.4479, 3.9033, 11.0549 Å; angles 90.00, 90.00, 90.00 degrees
Space group Amm2 (No. 38)
Unique sites:
1 Ca 0.0000 0.0000 0.0000
2 Mn 0.5000 0.0000 0.7813
3 As 0.0000 0.0000 0.7095
4 As 0.5000 0.0000 0.4119

***

[6]
Compound: CaMnAs2
Source: Alexandria via LeMat-Bulk
Functional: GGA-PBE
Structure: relaxed

Properties
- E_form (meV/atom) = 83.8
- DOS at the Fermi energy (states/eV per atom) = 0.777
- total magnetization (μB per formula unit) = 3.78

Cell lengths 6.8823, 6.8823, 6.8823 Å; angles 90.00, 90.00, 90.00 degrees
Space group F-43m (No. 216)
Unique sites:
1 Ca 0.0000 0.0000 0.0000
2 Mn 0.2500 0.2500 0.7500
3 As 0.0000 0.0000 0.5000
4 As 0.2500 0.2500 0.2500

***

[7]
Compound: CaMnAs2
Source: Alexandria via LeMat-Bulk
Functional: GGA-PBE
Structure: relaxed

Properties
- E_form (meV/atom) = -284.0
- DOS at the Fermi energy (states/eV per atom) = 0.518
- total magnetization (μB per formula unit) = 3.38

Cell lengths 3.9529, 3.9529, 5.6654 Å; angles 90.00, 90.00, 90.00 degrees
Space group P4mm (No. 99)
Unique sites:
1 Ca 0.0000 0.0000 0.0000
2 Mn 0.5000 0.5000 0.5001
3 As 0.0000 0.0000 0.4985
4 As 0.5000 0.5000 0.9429

***

[8]
Compound: CaMn2As
Source: Alexandria via LeMat-Bulk
Functional: GGA-PBE
Structure: relaxed

Properties
- E_form (meV/atom) = -12.3
- DOS at the Fermi energy (states/eV per atom) = 0.810
- total magnetization (μB per formula unit) = 5.70

Cell lengths 4.1464, 4.1464, 15.8976 Å; angles 90.00, 90.00, 120.00 degrees
Space group R-3m (No. 166, hexagonal axes)
Unique sites:
1 Ca 0.0000 0.0000 0.0000
2 Mn 0.0000 0.0000 0.1978
3 As 0.0000 0.0000 0.5000

***

[9]
Compound: CaMnAs
Source: Alexandria via LeMat-Bulk
Functional: GGA-PBE
Structure: relaxed

Properties
- E_form (meV/atom) = 316.0
- DOS at the Fermi energy (states/eV per atom) = 0.854
- total magnetization (μB per formula unit) = 4.78

Cell lengths 6.7754, 6.7754, 6.7754 Å; angles 90.00, 90.00, 90.00 degrees
Space group F-43m (No. 216)
Unique sites:
1 Ca 0.0000 0.0000 0.0000
2 Mn 0.2500 0.2500 0.7500
3 As 0.2500 0.2500 0.2500

***

[10]
Compound: CaMnAs2
Source: Alexandria via LeMat-Bulk
Functional: GGA-PBE
Structure: relaxed

Properties
- E_form (meV/atom) = -596.1
- DOS at the Fermi energy (states/eV per atom) = 0.262
- total magnetization (μB per formula unit) = 2.81

Cell lengths 3.8795, 3.8795, 18.8238 Å; angles 90.00, 90.00, 120.00 degrees
Space group R-3m (No. 166, hexagonal axes)
Unique sites:
1 Ca 0.0000 0.0000 0.0000
2 Mn 0.0000 0.0000 0.5000
3 As 0.0000 0.0000 0.2311

***

[11]
Compound: CaMn2As
Source: Alexandria via LeMat-Bulk
Functional: GGA-PBE
Structure: relaxed

Properties
- E_form (meV/atom) = 147.3
- DOS at the Fermi energy (states/eV per atom) = 0.823
- total magnetization (μB per formula unit) = 7.86

Cell lengths 4.0752, 4.0752, 9.3822 Å; angles 90.00, 90.00, 90.00 degrees
Space group I4/mmm (No. 139)
Unique sites:
1 Ca 0.0000 0.0000 0.0000
2 Mn 0.0000 0.5000 0.2500
3 As 0.0000 0.0000 0.5000

***

[12]
Compound: CaMn2As
Source: Alexandria via LeMat-Bulk
Functional: GGA-PBE
Structure: relaxed

Properties
- E_form (meV/atom) = 154.4
- DOS at the Fermi energy (states/eV per atom) = 1.026
- total magnetization (μB per formula unit) = 4.97

Cell lengths 4.4573, 4.4573, 17.2992 Å; angles 90.00, 90.00, 90.00 degrees
Space group I-42d (No. 122)
Unique sites:
1 Ca 0.0000 0.0000 0.0000
2 Mn 0.0112 0.7500 0.6250
3 As 0.0000 0.0000 0.5000

***

[13]
Compound: CaMnAs2
Source: Alexandria via LeMat-Bulk
Functional: GGA-PBE
Structure: relaxed

Properties
- E_form (meV/atom) = -440.4
- DOS at the Fermi energy (states/eV per atom) = 0.480
- total magnetization (μB per formula unit) = 3.76

Cell lengths 3.9062, 4.1028, 5.7773 Å; angles 90.00, 90.00, 90.00 degrees
Space group Pmmm (No. 47)
Unique sites:
1 Ca 0.0000 0.0000 0.0000
2 Mn 0.0000 0.5000 0.5000
3 As 0.5000 0.5000 0.2371

***

[14]
Compound: CaMn2As
Source: Alexandria via LeMat-Bulk
Functional: GGA-PBE
Structure: relaxed

Properties
- E_form (meV/atom) = 145.8
- DOS at the Fermi energy (states/eV per atom) = 0.756
- total magnetization (μB per formula unit) = 7.71

Cell lengths 3.3913, 4.4057, 5.5037 Å; angles 90.00, 102.43, 90.00 degrees
Space group P2/m (No. 10)
Unique sites:
1 Ca 0.0000 0.0000 0.0000
2 Mn 0.3629 0.5000 0.7088
3 As 0.5000 0.0000 0.5000

***

[15]
Compound: Ca2Mn2As
Source: Alexandria via LeMat-Bulk
Functional: GGA-PBE
Structure: relaxed

Properties
- E_form (meV/atom) = 37.4
- DOS at the Fermi energy (states/eV per atom) = 1.086
- total magnetization (μB per formula unit) = 0.00

Cell lengths 3.2699, 3.2699, 18.3929 Å; angles 90.00, 90.00, 90.00 degrees
Space group I4/mmm (No. 139)
Unique sites:
1 Ca 0.0000 0.0000 0.1080
2 Mn 0.0000 0.5000 0.2500
3 As 0.0000 0.0000 0.5000

***

[16]
Compound: CaMnAs2
Source: Alexandria via LeMat-Bulk
Functional: GGA-PBE
Structure: relaxed

Properties
- E_form (meV/atom) = -347.6
- DOS at the Fermi energy (states/eV per atom) = 0.386
- total magnetization (μB per formula unit) = 3.59

Cell lengths 4.0852, 5.6839, 7.1331 Å; angles 90.00, 90.00, 90.00 degrees
Space group Cmmm (No. 65)
Unique sites:
1 Ca 0.0000 0.0000 0.0000
2 Mn 0.0000 0.0000 0.5000
3 As 0.0000 0.5000 0.2880

***

[17]
Compound: CaMnAs2
Source: Alexandria via LeMat-Bulk
Functional: GGA-PBE
Structure: relaxed

Properties
- E_form (meV/atom) = -294.6
- DOS at the Fermi energy (states/eV per atom) = 0.623
- total magnetization (μB per formula unit) = 3.40

Cell lengths 3.2432, 3.3820, 7.1702 Å; angles 90.00, 90.00, 90.00 degrees
Space group Pmmm (No. 47)
Unique sites:
1 Ca 0.0000 0.0000 0.0000
2 Mn 0.0000 0.0000 0.5000
3 As 0.5000 0.5000 0.2914

***

[18]
Compound: CaMn2As
Source: Alexandria via LeMat-Bulk
Functional: GGA-PBE
Structure: relaxed

Properties
- E_form (meV/atom) = 122.9
- DOS at the Fermi energy (states/eV per atom) = 0.977
- total magnetization (μB per formula unit) = 6.93

Cell lengths 3.6458, 4.4985, 9.2837 Å; angles 90.00, 90.00, 90.00 degrees
Space group Imm2 (No. 44)
Unique sites:
1 Ca 0.0000 0.0000 0.0000
2 Mn 0.0000 0.0000 0.5701
3 Mn 0.0000 0.5000 0.7760
4 As 0.0000 0.5000 0.2459

***

[19]
Compound: CaMnAs2
Source: Alexandria via LeMat-Bulk
Functional: GGA-PBE
Structure: relaxed

Properties
- E_form (meV/atom) = -622.9
- DOS at the Fermi energy (states/eV per atom) = 0.565
- total magnetization (μB per formula unit) = 1.70

Cell lengths 5.4872, 20.9022, 5.4782 Å; angles 90.00, 90.00, 90.00 degrees
Space group Fmm2 (No. 42)
Unique sites:
1 Ca 0.0000 0.1142 0.0000
2 Mn 0.2500 0.2500 0.2501
3 As 0.0000 0.1801 0.5002
4 As 0.2260 0.0000 0.2679

***

[20]
Compound: Ca14MnAs11
Source: Alexandria via LeMat-Bulk
Functional: GGA-PBE
Structure: relaxed

Properties
- E_form (meV/atom) = -1133.2
- DOS at the Fermi energy (states/eV per atom) = 0.250
- total magnetization (μB per formula unit) = 3.91

Cell lengths 15.7515, 21.0105, 15.7508 Å; angles 90.00, 90.00, 90.00 degrees
Space group Iba2 (No. 45)
Unique sites:
1 Ca 0.0000 0.0000 0.0000
2 Ca 0.0000 0.5000 0.2060
3 Ca 0.0704 0.1572 0.0097
4 Ca 0.0700 0.3431 0.1970
5 Ca 0.0726 0.0779 0.3087
6 Ca 0.0747 0.4214 0.8959
7 Ca 0.0922 0.4075 0.5328
8 Ca 0.0952 0.0934 0.6732
9 Ca 0.1030 0.2508 0.6028
10 Ca 0.1222 0.2456 0.3762
11 Ca 0.1225 0.2548 0.8291
12 Ca 0.2058 0.3277 0.0301
13 Ca 0.2069 0.1712 0.1774
14 Ca 0.2262 0.4950 0.7256
15 Ca 0.2267 0.0041 0.4809
16 Mn 0.2502 0.1250 0.8531
17 As 0.0256 0.2031 0.2221
18 As 0.0258 0.2965 0.9820
19 As 0.1140 0.0619 0.8573
20 As 0.1138 0.4383 0.3488
21 As 0.1157 0.3751 0.7186
22 As 0.1172 0.1251 0.4857
23 As 0.1201 0.0464 0.1287
24 As 0.1201 0.4531 0.0772
25 As 0.2455 0.3122 0.4893
26 As 0.2460 0.1886 0.7172
27 As 0.2468 0.1250 0.3561